VASP calculation (PBE+U) on a geometry-optimized MgVAs2O7 structure.

Output
Space-group type: P2_1/c, No. 14
Crystal system: monoclinic
DFT total energy, eV per atom: -6.50

Geometry as POSCAR:
```
MgVAs2O7
1.0
-2.998 5.027 5.260
-7.283 -0.492 -3.681
-1.444 -8.451 3.986
O V As Mg
28 4 8 4
direct
0.311 0.690 0.072
0.270 0.840 0.584
0.318 0.912 0.323
0.682 0.088 0.677
0.770 0.660 0.084
0.730 0.160 0.416
0.825 0.909 0.886
0.577 0.396 0.218
0.077 0.104 0.718
0.182 0.412 0.177
0.230 0.340 0.916
0.423 0.604 0.782
0.408 0.925 0.887
0.589 0.742 0.276
0.175 0.091 0.114
0.092 0.425 0.613
0.811 0.810 0.572
0.818 0.588 0.823
0.911 0.242 0.224
0.089 0.758 0.776
0.189 0.190 0.428
0.689 0.310 0.928
0.411 0.258 0.724
0.675 0.409 0.614
0.592 0.075 0.113
0.923 0.896 0.282
0.908 0.575 0.387
0.325 0.591 0.386
0.890 0.949 0.703
0.110 0.051 0.297
0.390 0.551 0.203
0.610 0.449 0.797
0.197 0.282 0.734
0.429 0.782 0.469
0.697 0.218 0.234
0.929 0.718 0.969
0.071 0.282 0.031
0.303 0.782 0.766
0.571 0.218 0.531
0.803 0.718 0.266
0.887 0.574 0.618
0.113 0.426 0.382
0.387 0.926 0.118
0.613 0.074 0.882
```